# AcVClO4 (PBE with a Hubbard U, optimized geometry)
# size of the total moment: 0.00 μB/f.u.
# crystal system: monoclinic
# energy: -48.53 eV/f.u.
# SG: C2/m, No. 12
data_AcVClO4
_space_group_name_H-M_alt 'P 1'
_space_group_IT_number 1
_space_group_name_Hall 'P 1'
_cell_length_a 6.565
_cell_length_b 6.565
_cell_length_c 6.791
_cell_angle_alpha 93.18
_cell_angle_beta 93.18
_cell_angle_gamma 71.72
loop_
_atom_site_label
_atom_site_fract_x
_atom_site_fract_y
_atom_site_fract_z
Ac1 0.211 0.211 0.123
Ac2 0.789 0.789 0.877
V1 0.389 0.389 0.724
V2 0.611 0.611 0.276
Cl1 0.047 0.047 0.751
Cl2 0.953 0.953 0.249
O1 0.157 0.505 0.853
O2 0.331 0.331 0.475
O3 0.446 0.446 0.256
O4 0.495 0.843 0.147
O5 0.505 0.157 0.853
O6 0.554 0.554 0.744
O7 0.669 0.669 0.525
O8 0.843 0.495 0.147